# Er5Bi3 (PBEsol, optimized geometry)
# Crystal system: orthorhombic
# ΔH_f (0 K) in eV per atom: -0.696
data_Er5Bi3
_chemical_formula_sum 'Er20 Bi12'
_cell_length_a 11.711
_cell_length_b 9.305
_cell_length_c 8.084
_cell_angle_alpha 90.00
_cell_angle_beta 90.00
_cell_angle_gamma 90.00
_symmetry_space_group_name_H-M 'P 1'
_symmetry_Int_Tables_number 1
loop_
_symmetry_equiv_pos_as_xyz
'x,y,z'
loop_
_atom_site_label
_atom_site_type_symbol
_atom_site_fract_x
_atom_site_fract_y
_atom_site_fract_z
Er1 Er 0.005 0.250 0.020
Er2 Er 0.063 0.063 0.689
Er3 Er 0.063 0.437 0.689
Er4 Er 0.211 0.750 0.338
Er5 Er 0.228 0.250 0.327
Er6 Er 0.272 0.750 0.827
Er7 Er 0.289 0.250 0.838
Er8 Er 0.437 0.563 0.189
Er9 Er 0.437 0.937 0.189
Er10 Er 0.495 0.750 0.520
Er11 Er 0.505 0.250 0.480
Er12 Er 0.563 0.063 0.811
Er13 Er 0.563 0.437 0.811
Er14 Er 0.711 0.750 0.162
Er15 Er 0.728 0.250 0.173
Er16 Er 0.772 0.750 0.673
Er17 Er 0.789 0.250 0.662
Er18 Er 0.937 0.563 0.311
Er19 Er 0.937 0.937 0.311
Er20 Er 0.995 0.750 0.980
Bi1 Bi 0.029 0.750 0.602
Bi2 Bi 0.175 0.508 0.063
Bi3 Bi 0.175 0.992 0.063
Bi4 Bi 0.325 0.008 0.563
Bi5 Bi 0.325 0.492 0.563
Bi6 Bi 0.471 0.250 0.102
Bi7 Bi 0.529 0.750 0.898
Bi8 Bi 0.675 0.508 0.437
Bi9 Bi 0.675 0.992 0.437
Bi10 Bi 0.825 0.008 0.937
Bi11 Bi 0.825 0.492 0.937
Bi12 Bi 0.971 0.250 0.398

=====

# Er6FeBi2 (PBEsol, optimized geometry)
# Crystal system: hexagonal
# ΔH_f (0 K) in eV per atom: -0.450
data_Er6FeBi2
_chemical_formula_sum 'Er6 Fe1 Bi2'
_cell_length_a 8.131
_cell_length_b 8.131
_cell_length_c 4.060
_cell_angle_alpha 90.00
_cell_angle_beta 90.00
_cell_angle_gamma 120.00
_symmetry_space_group_name_H-M 'P 1'
_symmetry_Int_Tables_number 1
loop_
_symmetry_equiv_pos_as_xyz
'x,y,z'
loop_
_atom_site_label
_atom_site_type_symbol
_atom_site_fract_x
_atom_site_fract_y
_atom_site_fract_z
Er1 Er 0.000 0.389 0.000
Er2 Er 0.000 0.770 0.500
Er3 Er 0.230 0.230 0.500
Er4 Er 0.389 0.000 0.000
Er5 Er 0.611 0.611 0.000
Er6 Er 0.770 0.000 0.500
Fe1 Fe 0.000 0.000 0.000
Bi1 Bi 0.333 0.667 0.500
Bi2 Bi 0.667 0.333 0.500

=====

# ErGeBiO5 (PBEsol, optimized geometry)
# ΔE_f (raw) in eV per formula unit: -18.1
# Crystal system: orthorhombic
data_ErGeBiO5
_chemical_formula_sum 'Er8 Ge8 Bi8 O40'
_cell_length_a 5.301
_cell_length_b 15.194
_cell_length_c 10.923
_cell_angle_alpha 90.00
_cell_angle_beta 90.00
_cell_angle_gamma 90.00
_symmetry_space_group_name_H-M 'P 1'
_symmetry_Int_Tables_number 1
loop_
_symmetry_equiv_pos_as_xyz
'x,y,z'
loop_
_atom_site_label
_atom_site_type_symbol
_atom_site_fract_x
_atom_site_fract_y
_atom_site_fract_z
Er1 Er 0.011 0.054 0.142
Er2 Er 0.011 0.446 0.642
Er3 Er 0.489 0.554 0.142
Er4 Er 0.489 0.946 0.642
Er5 Er 0.511 0.054 0.358
Er6 Er 0.511 0.446 0.858
Er7 Er 0.989 0.554 0.358
Er8 Er 0.989 0.946 0.858
Ge1 Ge 0.005 0.095 0.597
Ge2 Ge 0.005 0.405 0.097
Ge3 Ge 0.495 0.595 0.597
Ge4 Ge 0.495 0.905 0.097
Ge5 Ge 0.505 0.095 0.903
Ge6 Ge 0.505 0.405 0.403
Ge7 Ge 0.995 0.595 0.903
Ge8 Ge 0.995 0.905 0.403
Bi1 Bi 0.040 0.738 0.145
Bi2 Bi 0.040 0.762 0.645
Bi3 Bi 0.460 0.238 0.145
Bi4 Bi 0.460 0.262 0.645
Bi5 Bi 0.540 0.738 0.355
Bi6 Bi 0.540 0.762 0.855
Bi7 Bi 0.960 0.238 0.355
Bi8 Bi 0.960 0.262 0.855
O1 O 0.064 0.199 0.669
O2 O 0.064 0.301 0.169
O3 O 0.149 0.521 0.807
O4 O 0.149 0.979 0.307
O5 O 0.196 0.626 0.025
O6 O 0.196 0.874 0.525
O7 O 0.199 0.561 0.540
O8 O 0.199 0.939 0.040
O9 O 0.250 0.150 0.265
O10 O 0.250 0.350 0.765
O11 O 0.250 0.650 0.265
O12 O 0.250 0.850 0.765
O13 O 0.301 0.061 0.540
O14 O 0.301 0.439 0.040
O15 O 0.304 0.126 0.025
O16 O 0.304 0.374 0.525
O17 O 0.351 0.021 0.807
O18 O 0.351 0.479 0.307
O19 O 0.436 0.699 0.669
O20 O 0.436 0.801 0.169
O21 O 0.564 0.199 0.831
O22 O 0.564 0.301 0.331
O23 O 0.649 0.521 0.693
O24 O 0.649 0.979 0.193
O25 O 0.696 0.626 0.475
O26 O 0.696 0.874 0.975
O27 O 0.699 0.561 0.960
O28 O 0.699 0.939 0.460
O29 O 0.750 0.150 0.235
O30 O 0.750 0.350 0.735
O31 O 0.750 0.650 0.235
O32 O 0.750 0.850 0.735
O33 O 0.801 0.061 0.960
O34 O 0.801 0.439 0.460
O35 O 0.804 0.126 0.475
O36 O 0.804 0.374 0.975
O37 O 0.851 0.021 0.693
O38 O 0.851 0.479 0.193
O39 O 0.936 0.699 0.831
O40 O 0.936 0.801 0.331

=====

# Ho3Er3MnBi2 (PBEsol, optimized geometry)
# Crystal system: hexagonal
# ΔH_f (0 K) in eV per atom: -0.406
data_Ho3Er3MnBi2
_chemical_formula_sum 'Ho3 Er3 Mn1 Bi2'
_cell_length_a 8.132
_cell_length_b 8.132
_cell_length_c 4.155
_cell_angle_alpha 90.00
_cell_angle_beta 90.00
_cell_angle_gamma 120.00
_symmetry_space_group_name_H-M 'P 1'
_symmetry_Int_Tables_number 1
loop_
_symmetry_equiv_pos_as_xyz
'x,y,z'
loop_
_atom_site_label
_atom_site_type_symbol
_atom_site_fract_x
_atom_site_fract_y
_atom_site_fract_z
Ho1 Ho 0.000 0.768 0.000
Ho2 Ho 0.232 0.232 0.000
Ho3 Ho 0.768 0.000 0.000
Er1 Er 0.000 0.391 0.500
Er2 Er 0.391 0.000 0.500
Er3 Er 0.609 0.609 0.500
Mn1 Mn 0.000 0.000 0.500
Bi1 Bi 0.333 0.667 0.000
Bi2 Bi 0.667 0.333 0.000

=====

no.,magnetic moment (μB per cell)
1,0.0
2,0.3
3,0.0
4,0.1